# Dy2ErHg (PBE-GGA, relaxed)
data_Dy2ErHg
_chemical_formula_sum 'Dy6 Er3 Hg3'
_cell_length_a 3.5906
_cell_length_b 3.5906
_cell_length_c 31.6212
_cell_angle_alpha 90.00
_cell_angle_beta 90.00
_cell_angle_gamma 120.00
_symmetry_space_group_name_H-M 'R -3 m'
_symmetry_Int_Tables_number 166
_symmetry_space_group_name_Hall '-R 3 2"'
loop_
_atom_site_label
_atom_site_type_symbol
_atom_site_fract_x
_atom_site_fract_y
_atom_site_fract_z
Dy1 Dy 0.0000 0.0000 0.2433
Er1 Er 0.0000 0.0000 0.0000
Hg1 Hg 0.0000 0.0000 0.5000
# - DFT formation energy (meV per atom) = -154.6
# - V (Å³ per cell) = 353.0
# - distance to the lowest polymorph of the same formula (kcal/mol of atoms) = 1.565

# TbY2Zn (PBE-GGA, relaxed)
data_TbY2Zn
_chemical_formula_sum 'Tb1 Y2 Zn1'
_cell_length_a 4.7730
_cell_length_b 4.7730
_cell_length_c 4.7506
_cell_angle_alpha 90.00
_cell_angle_beta 90.00
_cell_angle_gamma 90.00
_symmetry_space_group_name_H-M 'P 4/m m m'
_symmetry_Int_Tables_number 123
_symmetry_space_group_name_Hall '-P 4 2'
loop_
_atom_site_label
_atom_site_type_symbol
_atom_site_fract_x
_atom_site_fract_y
_atom_site_fract_z
Tb1 Tb 0.0000 0.0000 0.0000
Y1 Y 0.0000 0.5000 0.5000
Zn1 Zn 0.5000 0.5000 0.0000
# - DFT formation energy (meV per atom) = -26.7
# - V (Å³ per cell) = 108.2
# - distance to the lowest polymorph of the same formula (kcal/mol of atoms) = 3.184

# Cu2Au (PBE-GGA, relaxed)
data_Cu2Au
_chemical_formula_sum 'Cu8 Au4'
_cell_length_a 5.4770
_cell_length_b 3.8349
_cell_length_c 8.0640
_cell_angle_alpha 90.00
_cell_angle_beta 90.00
_cell_angle_gamma 90.00
_symmetry_space_group_name_H-M 'P n m a'
_symmetry_Int_Tables_number 62
_symmetry_space_group_name_Hall '-P 2ac 2n'
loop_
_atom_site_label
_atom_site_type_symbol
_atom_site_fract_x
_atom_site_fract_y
_atom_site_fract_z
Cu1 Cu 0.1141 0.2500 0.2468
Cu2 Cu 0.1255 0.2500 0.9210
Au1 Au 0.1379 0.2500 0.5920
# - DFT formation energy (meV per atom) = -32.8
# - V (Å³ per cell) = 169.4
# - distance to the lowest polymorph of the same formula (kcal/mol of atoms) = 0.098